The following is a PBE calculation of a geometry-optimized KZnCr2 structure, from the Alexandria database.

Structure (POSCAR):
```
KZnCr2
1.0
-2.1863 -4.3046 1.2598
0.4439 -4.9613 0.2916
2.2508 -0.0729 6.1636
Cr K Zn
2 1 1
Direct
0.9768 0.9768 0.1456 Cr
0.5232 0.5232 0.3544 Cr
0.7500 0.7500 0.7500 K
0.2500 0.2500 0.2500 Zn
```

Properties
**Total DFT energy (no corrections)**: -4.60 eV per atom

=====

The following is a PBE calculation of a geometry-optimized K3ZnCr structure, from the Alexandria database.

Structure (POSCAR):
```
K3ZnCr
1.0
6.4055 0.0000 0.0000
0.0000 6.4055 0.0000
0.0000 0.0000 6.4055
Cr Zn K
1 1 3
Direct
0.5000 0.5000 0.5000 Cr
0.0000 0.0000 0.0000 Zn
0.0000 0.5000 0.0000 K
0.0000 0.0000 0.5000 K
0.5000 0.0000 0.0000 K
```

Properties
**Total DFT energy (no corrections)**: -2.09 eV per atom
**ΔE to the lowest computed polymorph**: 0.000 eV/atom

=====

The following is a PBE calculation of a geometry-optimized KZnCr2 structure, from the Alexandria database.

Structure (POSCAR):
```
KZnCr2
1.0
4.0924 0.0000 0.0000
0.0000 2.9278 0.0100
0.0000 2.0023 7.1918
Cr K Zn
2 1 1
Direct
0.0000 0.1644 0.8757 Cr
0.0000 0.3356 0.6243 Cr
0.5000 0.2500 0.2500 K
0.5000 0.7500 0.7500 Zn
```

Properties
**Total DFT energy (no corrections)**: -4.61 eV per atom

=====

Calculated DFT formation energy, 0.81 0.75 0.79 eV/atom (same order as the records).